[1]
A geometry-optimized Sc2IrOs structure, computed with PBE-GGA.

Structure (POSCAR):
```
Sc2IrOs
1.0
-3.588 3.588 2.797
3.588 -3.588 2.797
3.588 3.588 -2.797
Sc Ir Os
4 2 2
Cartesian
5.382 1.773 -0.699
1.773 1.794 0.699
-1.794 1.815 2.097
1.815 1.794 3.496
0.000 0.000 0.000
0.000 3.588 1.398
3.588 0.000 1.398
0.000 0.000 2.797
```

Calculated values
Calculated volume (Å³ per atom): 18.00
Final energy (eV per cell): -65.7
E_form (kJ/mol of formula units): -11.2
M_tot (μB per atom): 0.000
Space group: I-42d, No. 122

---

[2]
A geometry-optimized Sc2IrOs structure, computed with PBE-GGA.

Structure (POSCAR):
```
Sc2IrOs
1.0
-1.400 2.468 5.122
1.400 -2.468 5.122
1.400 2.468 -5.122
Sc Ir Os
2 1 1
Cartesian
0.000 0.000 2.522
0.000 0.000 7.721
0.000 0.000 0.000
0.000 0.000 5.122
```

Calculated values
Calculated volume (Å³ per atom): 17.70
Final energy (eV per cell): -31.1
E_form (kJ/mol of formula units): 158.8
M_tot (μB per atom): 0.000
Space group: Immm, No. 71

---

[3]
A geometry-optimized Sc2IrOs structure, computed with PBE-GGA.

Structure (POSCAR):
```
Sc2IrOs
1.0
0.000 3.218 3.218
3.218 0.000 3.218
3.218 3.218 0.000
Sc Ir Os
2 1 1
Cartesian
1.609 1.609 1.609
4.827 4.827 4.827
0.000 0.000 0.000
3.218 3.218 3.218
```

Calculated values
Calculated volume (Å³ per atom): 16.66
Final energy (eV per cell): -35.6
E_form (kJ/mol of formula units): -274.0
M_tot (μB per atom): 0.000
Space group: Fm-3m, No. 225

---

[4]
A geometry-optimized ScIrOs structure, computed with PBE-GGA.

Structure (POSCAR):
```
ScIrOs
1.0
0.000 3.026 3.026
3.026 0.000 3.026
3.026 3.026 0.000
Sc Ir Os
1 1 1
Cartesian
0.000 0.000 0.000
4.539 4.539 4.539
1.513 1.513 1.513
```

Calculated values
Calculated volume (Å³ per atom): 18.47
Final energy (eV per cell): -24.4
E_form (kJ/mol of formula units): 191.3
M_tot (μB per atom): 0.000
Space group: F-43m, No. 216
Offset from the most stable computed form (eV per atom): 0.963

---

[5]
A geometry-optimized ScIrOs structure, computed with PBE-GGA.

Structure (POSCAR):
```
ScIrOs
1.0
-1.415 1.415 6.073
1.415 -1.415 6.073
1.415 1.415 -6.073
Sc Ir Os
1 1 1
Cartesian
0.000 0.000 0.000
0.000 0.000 3.888
0.000 0.000 8.241
```

Calculated values
Calculated volume (Å³ per atom): 16.21
Final energy (eV per cell): -27.3
E_form (kJ/mol of formula units): -87.4
M_tot (μB per atom): 0.000
Space group: I4mm, No. 107
Offset from the most stable computed form (eV per atom): 0.000

---

[6]
A geometry-optimized Sc3IrOs structure, computed with PBE-GGA.

Structure (POSCAR):
```
Sc3IrOs
1.0
4.874 0.000 0.000
0.000 4.874 0.000
0.000 0.000 4.874
Sc Ir Os
3 1 1
Cartesian
0.000 0.000 2.437
0.000 2.437 0.000
2.437 0.000 0.000
0.000 0.000 0.000
2.437 2.437 2.437
```

Calculated values
Calculated volume (Å³ per atom): 23.16
Final energy (eV per cell): -37.3
E_form (kJ/mol of formula units): 170.3
M_tot (μB per atom): 0.050
Space group: Pm-3m, No. 221
Offset from the most stable computed form (eV per atom): 0.073

---

[7]
A geometry-optimized Sc8IrOs2 structure, computed with PBE-GGA.

Structure (POSCAR):
```
Sc8IrOs2
1.0
4.019 -5.835 0.000
4.019 5.835 0.000
-1.421 0.000 4.946
Sc Ir Os
8 1 2
Cartesian
0.000 0.000 0.000
0.479 1.513 2.889
2.623 2.606 0.871
0.479 -1.513 2.889
3.347 1.513 3.797
2.623 -2.606 0.871
3.347 -1.513 3.797
5.247 0.000 1.743
2.620 0.000 0.881
1.913 3.705 3.344
1.913 -3.705 3.344
```

Calculated values
Calculated volume (Å³ per atom): 21.09
Final energy (eV per cell): -86.0
E_form (kJ/mol of formula units): -386.9
M_tot (μB per atom): 0.000
Space group: Cm, No. 8

---

[8]
A geometry-optimized ScIrOs4 structure, computed with PBE-GGA.

Structure (POSCAR):
```
ScIrOs4
1.0
0.000 3.643 3.643
3.643 0.000 3.643
3.643 3.643 0.000
Sc Ir Os
1 1 4
Cartesian
0.000 0.000 0.000
1.822 1.822 1.822
4.546 2.741 2.741
2.741 4.546 2.741
2.741 2.741 4.546
4.546 4.546 4.546
```

Calculated values
Calculated volume (Å³ per atom): 16.12
Final energy (eV per cell): -58.5
E_form (kJ/mol of formula units): 156.0
M_tot (μB per atom): 0.000
Space group: F-43m, No. 216

---

[9]
A geometry-optimized Sc2IrOs structure, computed with PBE-GGA.

Structure (POSCAR):
```
Sc2IrOs
1.0
3.217 0.000 0.000
0.000 3.217 0.000
0.000 0.000 6.452
Sc Ir Os
2 1 1
Cartesian
0.000 0.000 1.580
0.000 0.000 4.872
1.608 1.608 3.226
1.608 1.608 0.000
```

Calculated values
Calculated volume (Å³ per atom): 16.69
Final energy (eV per cell): -35.6
E_form (kJ/mol of formula units): -274.0
M_tot (μB per atom): 0.000
Space group: P4/mmm, No. 123

---

[10]
A geometry-optimized Sc2IrOs structure, computed with PBE-GGA.

Structure (POSCAR):
```
Sc2IrOs
1.0
4.330 -1.522 0.000
4.330 1.522 0.000
-1.062 0.000 5.181
Sc Ir Os
2 1 1
Cartesian
1.893 0.000 1.282
5.704 0.000 3.899
-0.531 0.000 2.590
4.330 0.000 0.000
```

Calculated values
Calculated volume (Å³ per atom): 17.07
Final energy (eV per cell): -33.9
E_form (kJ/mol of formula units): -106.3
M_tot (μB per atom): 0.000
Space group: C2/m, No. 12

---

[11]
A geometry-optimized Sc2IrOs structure, computed with PBE-GGA.

Structure (POSCAR):
```
Sc2IrOs
1.0
1.487 0.858 9.255
-1.487 0.858 9.255
0.000 -1.717 9.255
Sc Ir Os
2 1 1
Cartesian
0.000 0.000 2.509
0.000 0.000 25.256
0.000 0.000 13.883
0.000 0.000 0.000
```

Calculated values
Calculated volume (Å³ per atom): 17.72
Final energy (eV per cell): -32.4
E_form (kJ/mol of formula units): 34.3
M_tot (μB per atom): 0.000
Space group: R-3m, No. 166

---

[12]
A geometry-optimized Sc5Ir2Os structure, computed with PBE-GGA.

Structure (POSCAR):
```
Sc5Ir2Os
1.0
5.793 0.000 0.000
0.000 11.167 0.000
0.000 0.000 4.544
Sc Ir Os
10 4 2
Cartesian
0.000 0.000 0.000
0.874 3.101 0.000
0.971 6.856 2.272
1.925 1.273 2.272
2.023 8.684 0.000
2.897 5.583 0.000
3.771 2.483 0.000
3.868 9.894 2.272
4.822 4.311 2.272
4.919 8.066 0.000
0.940 9.794 2.272
1.956 4.211 2.272
3.837 6.956 2.272
4.853 1.372 2.272
0.000 5.583 0.000
2.897 0.000 0.000
```

Calculated values
Calculated volume (Å³ per atom): 18.37
Final energy (eV per cell): -132.2
E_form (kJ/mol of formula units): -528.3
M_tot (μB per atom): 0.000
Space group: Pbam, No. 55